Density functional theory data (PBE) for Hg2Ge2Se after structural relaxation.

Cell and atoms, written as extended XYZ:
```
10
Lattice="7.5784 0.0000 0.0000 0.0000 7.5784 0.0000 0.0000 0.0000 4.2380" Properties=species:S:1:pos:R:3 pbc="T T T"
Hg 1.0643 2.7249 0.0000
Hg 2.7249 6.5141 0.0000
Hg 4.8535 1.0643 0.0000
Hg 6.5141 4.8535 0.0000
Ge 1.4088 5.1980 2.1190
Ge 2.3804 1.4088 2.1190
Ge 5.1980 6.1697 2.1190
Ge 6.1697 2.3804 2.1190
Se 0.0000 0.0000 2.1190
Se 3.7892 3.7892 2.1190
```

Energy   -0.091 Ha/atom
SG   P4/mbm, No. 127



Density functional theory data (PBE) for HgGe2Se2 after structural relaxation.

Cell and atoms, written as extended XYZ:
```
10
Lattice="5.7304 -2.9391 0.0000 5.7304 2.9391 0.0000 -1.6043 0.0000 8.1798" Properties=species:S:1:pos:R:3 pbc="T T T"
Hg 4.5272 2.2415 6.1349
Hg 5.3293 -2.2415 2.0450
Ge 2.1181 1.4087 7.1586
Ge 6.9363 1.4087 5.1112
Ge 2.9202 -1.4087 3.0687
Ge 7.7384 -1.4087 1.0212
Se 3.4645 0.9953 2.9176
Se 7.1941 0.9953 1.1723
Se 2.6624 -0.9953 7.0076
Se 6.3920 -0.9953 5.2622
```

Excess energy over the best structure of this formula in the dataset   0.00 eV/f.u.
SG   C2/c, No. 15



Density functional theory data (PBE) for HgGe3Se after structural relaxation.

Cell and atoms, written as extended XYZ:
```
5
Lattice="5.1979 0.0000 0.0000 0.0000 5.1979 0.0000 0.0000 0.0000 5.1979" Properties=species:S:1:pos:R:3 pbc="T T T"
Hg 0.0000 0.0000 0.0000
Ge 0.0000 2.5989 2.5989
Ge 2.5989 0.0000 2.5989
Ge 2.5989 2.5989 0.0000
Se 2.5989 2.5989 2.5989
```

Excess energy over the best structure of this formula in the dataset   0.00 eV/f.u.
SG   Pm-3m, No. 221



Density functional theory data (PBE) for HgGe2Se3 after structural relaxation.

Cell and atoms, written as extended XYZ:
```
12
Lattice="8.6644 -2.8152 0.0000 8.6644 2.8152 0.0000 -0.2104 0.0000 5.9195" Properties=species:S:1:pos:R:3 pbc="T T T"
Hg 1.4801 0.0000 1.8134
Hg 15.6383 0.0000 4.1061
Ge 4.0543 0.0000 4.7213
Ge 7.2519 0.0000 1.2446
Ge 9.8665 0.0000 4.6749
Ge 13.0641 0.0000 1.1982
Se 1.3364 0.0000 4.5772
Se 4.3829 0.0000 1.3824
Se 7.0489 0.0000 4.5818
Se 10.0695 0.0000 1.3377
Se 12.7355 0.0000 4.5370
Se 15.7820 0.0000 1.3423
```

Energy   -0.128 Ha/atom
SG   C2/m, No. 12



Density functional theory data (PBE) for HgGeSe2 after structural relaxation.

Cell and atoms, written as extended XYZ:
```
8
Lattice="6.1984 0.0000 0.0000 3.0741 6.7914 0.0000 3.0831 0.0000 6.7926" Properties=species:S:1:pos:R:3 pbc="T T T"
Hg 0.0000 0.0000 0.0000
Hg 6.1733 6.7913 0.0004
Ge 4.6174 3.3909 3.3994
Ge 7.7167 3.3906 3.3984
Se 3.0683 3.3923 1.5594
Se 6.1666 5.2302 3.3967
Se 6.1668 1.5513 3.3964
Se 9.2654 3.3930 5.2386
```

Energy   -0.115 Ha/atom
SG   P1, No. 1



Density functional theory data (PBE) for Hg3GeSe4 after structural relaxation.

Cell and atoms, written as extended XYZ:
```
16
Lattice="8.7530 0.0000 0.0000 0.0000 7.5641 0.0000 0.0000 0.0000 7.5092" Properties=species:S:1:pos:R:3 pbc="T T T"
Hg 0.0000 1.2732 0.0000
Hg 2.1610 2.5246 3.7402
Hg 2.2155 5.0395 7.4948
Hg 4.3765 6.2909 3.7546
Hg 6.5375 5.0395 7.4948
Hg 6.5920 2.5246 3.7402
Ge 0.0000 6.2959 3.7289
Ge 4.3765 1.2682 7.4835
Se 0.0000 1.2134 4.7605
Se 0.0000 6.2904 0.8747
Se 2.1553 5.0576 4.7554
Se 2.2212 2.5066 1.0008
Se 4.3765 1.2737 4.6293
Se 4.3765 6.3508 1.0059
Se 6.5318 2.5066 1.0008
Se 6.5977 5.0576 4.7554
```

Energy   -0.095 Ha/atom
SG   Pmn2_1, No. 31



Density functional theory data (PBE) for Hg4GeSe6 after structural relaxation.

Cell and atoms, written as extended XYZ:
```
22
Lattice="6.6043 -3.8364 0.0000 6.6043 3.8364 0.0000 -4.4333 0.0000 12.4450" Properties=species:S:1:pos:R:3 pbc="T T T"
Hg 4.3876 3.4000 6.2225
Hg 4.3170 0.7487 0.1162
Hg 2.1004 -0.7487 6.3388
Hg 4.5850 1.5498 10.5210
Hg 9.8748 0.8676 2.4331
Hg 6.8017 -1.5498 4.2985
Hg 7.6581 -0.8676 8.6556
Hg 6.6043 -3.4000 0.0000
Ge 6.2828 2.0491 3.1961
Ge 4.0661 -2.0491 9.4187
Se 1.9748 1.9398 6.3137
Se 4.0078 1.9702 2.5580
Se 0.9246 0.1101 2.5560
Se -1.2920 -0.1101 8.7786
Se 1.9019 2.0184 11.0316
Se 6.4131 1.7091 5.5444
Se 4.1914 -1.9398 0.0912
Se 7.2582 0.1130 2.1858
Se 5.0415 -0.1130 8.4084
Se 1.7912 -1.9702 8.7805
Se 4.1185 -2.0184 4.8091
Se 4.1964 -1.7091 11.7669
```

Energy   -0.097 Ha/atom
SG   Cc, No. 9



Density functional theory data (PBE) for HgGe2Se4 after structural relaxation.

Cell and atoms, written as extended XYZ:
```
7
Lattice="-4.4717 4.4717 3.1124 4.4717 -4.4717 3.1124 4.4717 4.4717 -3.1124" Properties=species:S:1:pos:R:3 pbc="T T T"
Hg 0.0000 0.0000 0.0000
Ge 4.4717 0.0000 1.5562
Ge 0.0000 4.4717 1.5562
Se 5.1915 1.6789 0.0000
Se 1.6789 3.7519 0.0000
Se 2.7928 0.7198 3.1124
Se -0.7198 2.7928 3.1124
```

Energy   -0.131 Ha/atom
SG   I4/m, No. 87



Density functional theory data (PBE) for HgGe2Se2 after structural relaxation.

Cell and atoms, written as extended XYZ:
```
10
Lattice="8.4987 0.0000 0.0000 0.0000 8.4987 0.0000 0.0000 0.0000 3.6660" Properties=species:S:1:pos:R:3 pbc="T T T"
Hg 0.0000 0.0000 0.0000
Hg 4.2493 4.2493 0.0000
Ge 1.7036 2.5458 0.0000
Ge 2.5458 6.7951 0.0000
Ge 5.9529 1.7036 0.0000
Ge 6.7951 5.9529 0.0000
Se 1.3420 5.5914 1.8330
Se 2.9073 1.3420 1.8330
Se 5.5914 7.1566 1.8330
Se 7.1566 2.9073 1.8330
```

Excess energy over the best structure of this formula in the dataset   0.39 eV/f.u.
SG   P4/mbm, No. 127



Density functional theory data (PBE) for SiHgGeSe2 after structural relaxation.

Cell and atoms, written as extended XYZ:
```
5
Lattice="5.1346 0.0000 0.0000 0.0000 5.1346 0.0000 0.0000 0.0000 5.0279" Properties=species:S:1:pos:R:3 pbc="T T T"
Si 0.0000 0.0000 0.0000
Hg 2.5673 2.5673 0.0000
Ge 2.5673 2.5673 2.5139
Se 0.0000 2.5673 2.5139
Se 2.5673 0.0000 2.5139
```

Energy   -0.104 Ha/atom
SG   P4/mmm, No. 123



Density functional theory data (PBE) for Sm6HgGe2Se3 after structural relaxation.

Cell and atoms, written as extended XYZ:
```
12
Lattice="9.3259 -2.1131 0.0000 9.3259 2.1131 0.0000 -2.3698 0.0000 8.2370" Properties=species:S:1:pos:R:3 pbc="T T T"
Sm -0.5541 0.0000 1.9301
Sm 16.8361 0.0000 6.3069
Sm 5.1559 0.0000 3.3751
Sm 3.9573 0.0000 7.6324
Sm 12.3247 0.0000 0.6046
Sm 11.1261 0.0000 4.8619
Hg 8.1410 0.0000 4.1185
Ge 1.0951 0.0000 6.8044
Ge 15.1869 0.0000 1.4327
Se 2.3278 0.0000 2.7192
Se 9.3259 0.0000 0.0000
Se 13.9542 0.0000 5.5178
```

Energy   -0.196 Ha/atom
SG   C2/m, No. 12



Density functional theory data (PBE) for Sr2HgGeSe5 after structural relaxation.

Cell and atoms, written as extended XYZ:
```
18
Lattice="2.0382 -10.0430 0.0000 2.0382 10.0430 0.0000 0.0000 0.0000 12.2542" Properties=species:S:1:pos:R:3 pbc="T T T"
Sr 2.0382 7.6800 6.1271
Sr 2.0382 7.5542 10.7455
Sr 2.0382 -7.5542 4.6184
Sr 2.0382 -7.6800 0.0000
Hg 2.0382 5.3649 2.8904
Hg 2.0382 -5.3649 9.0175
Ge 2.0382 1.3058 7.7876
Ge 2.0382 -1.3058 1.6605
Se 2.0382 9.3350 3.0343
Se 2.0382 4.3081 10.8441
Se 2.0382 3.5389 7.0058
Se 2.0382 2.7627 2.3256
Se 2.0382 0.1098 5.7236
Se 2.0382 -0.1098 11.8507
Se 2.0382 -2.7627 8.4527
Se 2.0382 -3.5389 0.8787
Se 2.0382 -4.3081 4.7170
Se 2.0382 -9.3350 9.1614
```

Energy   -0.142 Ha/atom
SG   Cmc2_1, No. 36



Summary of mass density in g/cm3
8.53; 6.07; 5.88; 6.70; 5.01; 6.61; 7.10; 4.41; 6.32; 5.75; 7.60; 5.58
(order as listed above)